[1]
Hf8AlSe2 | PBE | optimized geometry

Results
Fermi-level density of states in states/eV per atom: 0.874
Electronic total energy in Ry per atom: -0.607

Unit cell a=12.534 b=7.864 c=5.257 alpha=90.00 beta=93.28 gamma=90.00
Space group C2/m (No. 12)
One atom of each set of equivalent atoms:
Hf 0.084 0.189 0.309
Hf 0.138 0.000 0.816
Hf 0.210 0.500 0.653
Al 0.000 0.500 0.500
Se 0.146 0.500 0.133

***

[2]
HfAlSe3 | PBE | optimized geometry

Results
Fermi-level density of states in states/eV per atom: 0.048
Polymorph energy (0 for the lowest one) in eV per atom: 0.000

Unit cell a=16.268 b=3.942 c=7.443 alpha=90.00 beta=104.62 gamma=90.00
Space group C2/m (No. 12)
One atom of each set of equivalent atoms:
Hf 0.207 0.000 0.235
Al 0.023 0.500 0.684
Se 0.042 0.000 0.212
Se 0.159 0.500 0.957
Se 0.190 0.000 0.600

***

[3]
HfAl2Se4 | PBE | optimized geometry

Results
Fermi-level density of states in states/eV per atom: 0.518
Electronic total energy in Ry per atom: -0.372

Unit cell a=7.552 b=7.552 c=6.510 alpha=90.00 beta=90.00 gamma=90.00
Space group I4/m (No. 87)
One atom of each set of equivalent atoms:
Hf 0.000 0.000 0.000
Al 0.000 0.500 0.250
Se 0.164 0.679 0.000